Cu2Ag: relaxed, GGA-PBE.

The value obtained for the calculated formation energy is 0.087 eV per atom. The value obtained for the uncorrected energy is -3.594 eV/atom. For the distance to the lowest polymorph of the same formula, the calculation gives 26 meV/atom.

Cell lengths 5.3383, 5.3383, 10.4183 Å; angles 142.53, 142.53, 29.82 degrees
Fractional coordinates of all 6 atoms:
Ag 0.1277 0.1277 0.7468
Cu 0.0041 0.0041 0.9824
Cu 0.3223 0.3223 0.6579
Cu 0.4555 0.4555 0.3976
Cu 0.7737 0.7737 0.0732
Ag 0.6501 0.6501 0.3087